# KFeF3 | Alexandria | PBE+U | optimized geometry
data_KFeF3
_chemical_formula_sum 'K1 Fe1 F3'
_cell_length_a 4.161
_cell_length_b 4.161
_cell_length_c 4.161
_cell_angle_alpha 90.00
_cell_angle_beta 90.00
_cell_angle_gamma 90.00
_symmetry_space_group_name_H-M 'P m -3 m'
_symmetry_Int_Tables_number 221
_symmetry_space_group_name_Hall '-P 4 2 3'
loop_
_atom_site_label
_atom_site_fract_x
_atom_site_fract_y
_atom_site_fract_z
K1 0.000 0.000 0.000
Fe1 0.500 0.500 0.500
F1 0.000 0.500 0.500
# Spin magnetization ... 4.00 μB per formula unit
# Total energy ... -4.839 eV per atom